Record 1
Computed, not measured: a crystal of PrBiPd2 relaxed with PBEsol at the meta-GGA SCAN level of DFT.

Geometry as POSCAR:
```
PrBiPd2
1.0
0.000 3.483 3.483
3.483 0.000 3.483
3.483 3.483 0.000
Pr Bi Pd
1 1 2
Direct
0.000 0.000 0.000
0.500 0.500 0.500
0.250 0.250 0.250
0.750 0.750 0.750
```

Results
Energy of formation   -0.749 eV per atom


Record 2
Computed, not measured: a crystal of La3YCd relaxed with PBEsol at the meta-GGA SCAN level of DFT.

Geometry as POSCAR:
```
La3YCd
1.0
5.864 0.000 0.000
0.000 5.864 0.000
0.000 0.000 5.864
La Y Cd
3 1 1
Direct
0.000 0.000 0.500
0.000 0.500 0.000
0.500 0.000 0.000
0.500 0.500 0.500
0.000 0.000 0.000
```

Results
Energy of formation   0.341 eV per atom


Record 3
Computed, not measured: a crystal of EuN relaxed with PBEsol at the meta-GGA SCAN level of DFT.

Geometry as POSCAR:
```
EuN
1.0
0.000 2.497 2.497
2.497 0.000 2.497
2.497 2.497 0.000
Eu N
1 1
Direct
0.000 0.000 0.000
0.500 0.500 0.500
```

Results
Formation energy from raw total energies   -1041.8 meV per atom


Record 4
Computed, not measured: a crystal of ZnCoO2 relaxed with PBEsol at the meta-GGA SCAN level of DFT.

Geometry as POSCAR:
```
ZnCoO2
1.0
-2.249 2.249 4.557
2.249 -2.249 4.557
2.249 2.249 -4.557
Zn Co O
2 2 4
Direct
0.000 0.000 0.000
0.750 0.250 0.500
0.250 0.750 0.500
0.500 0.500 0.000
0.131 0.625 0.006
0.375 0.381 0.506
0.619 0.125 0.994
0.875 0.869 0.494
```

Results
Formation energy from raw total energies   -1351.4 meV per atom


Per-record DOS(E_F), states/eV per cell: 1.36; 9.27; 2.52; 1.98
Per-record final energy, Ha/atom: -1.7497; -1.3661; -1.1959; -0.4473